Computed, not measured: a relaxed Ca2MnF crystal at the GGA+U level of DFT.

## Properties
energy above the most stable polymorph in this dataset = 13.77 kcal/mol of atoms
calculated volume = 27.4 Å³/atom

abc: 7.593 7.593 7.593
angles: 90.00 90.00 90.00
Space group Fm-3m (No. 225)
Unique sites:
Ca1 0.250 0.250 0.250
Mn1 0.000 0.000 0.000
F1 0.000 0.000 0.500